No. 1
Entry from the Open Quantum Materials Database: an optimized crystal structure of RbGeTeAuS2 (PBE).

a = 8.901 Å, b = 8.901 Å, c = 10.737 Å
α = 90.00°, β = 90.00°, γ = 156.44°
Element x y z (fractional)
Rb 0.232 0.768 0.750
Rb 0.768 0.232 0.250
Ge 0.500 0.500 0.000
Ge 0.500 0.500 0.500
Te 0.446 0.554 0.250
Te 0.554 0.446 0.750
Au 0.103 0.897 0.250
Au 0.897 0.103 0.750
S 0.102 0.898 0.034
S 0.102 0.898 0.466
S 0.898 0.102 0.534
S 0.898 0.102 0.966

Values from the calculation:
Its space group is Cmcm. The calculation puts the total energy at -44.329 eV per cell.

No. 2
Entry from the Open Quantum Materials Database: an optimized crystal structure of LiErFeS3 (PBE).

a = 6.310 Å, b = 6.310 Å, c = 10.358 Å
α = 90.00°, β = 90.00°, γ = 144.91°
Element x y z (fractional)
Li 0.232 0.768 0.750
Li 0.768 0.232 0.250
Er 0.000 0.000 0.000
Er 0.000 0.000 0.500
Fe 0.478 0.522 0.250
Fe 0.522 0.478 0.750
S 0.090 0.910 0.250
S 0.358 0.642 0.081
S 0.358 0.642 0.419
S 0.642 0.358 0.581
S 0.642 0.358 0.919
S 0.910 0.090 0.750

Values from the calculation:
Its space group is Cmcm. For the total magnetization, the calculation gives 8.00 Bohr magnetons per cell. The calculation puts the total energy at -68.851 eV per cell.

No. 3
Entry from the Open Quantum Materials Database: an optimized crystal structure of ZnAgSeO (PBE).

a = 4.057 Å, b = 4.057 Å, c = 8.012 Å
α = 90.00°, β = 90.00°, γ = 90.00°
Element x y z (fractional)
Zn 0.250 0.250 0.236
Zn 0.750 0.750 0.764
Ag 0.250 0.750 0.000
Ag 0.750 0.250 0.000
Se 0.250 0.250 0.688
Se 0.750 0.750 0.312
O 0.250 0.250 0.473
O 0.750 0.750 0.527

Values from the calculation:
Its space group is P4/nmm. Its excess energy over the best structure of this formula in the dataset is 39.6 kJ/mol of atoms. The calculation puts the total energy at -26.203 eV per cell.

No. 4
Entry from the Open Quantum Materials Database: an optimized crystal structure of LiLuAlNi (PBE).

a = 4.480 Å, b = 4.480 Å, c = 4.480 Å
α = 60.00°, β = 60.00°, γ = 60.00°
Element x y z (fractional)
Li 0.000 0.000 0.000
Lu 0.750 0.750 0.750
Al 0.250 0.250 0.250
Ni 0.500 0.500 0.500

Values from the calculation:
Its space group is F-43m. For the total magnetization, the calculation gives 0.01 Bohr magnetons per cell. Its excess energy over the best structure of this formula in the dataset is 0.0 kJ/mol of atoms. The calculation puts the total energy at -17.319 eV per cell.